[1]
Computed, not measured: a relaxed structure of Tb2PuS at the PBE-GGA level of DFT.

Cell: 3.6412 3.6412 30.0660 Å, 90.00 90.00 120.00°
Closest atoms and distances in Å follow each position.
Space group R-3m (No. 166, hexagonal axes)
One atom of each set of equivalent atoms:
Tb 0.0000 0.0000 0.1108 [6 per cell]  3 S 2.69
Pu 0.0000 0.0000 0.0000 [3 per cell]  2 Tb 3.33, 6 Pu 3.64
S 0.0000 0.0000 0.5000 [3 per cell]  6 Tb 2.69

Density of states at the Fermi level ... 30.5 states/eV/cell

***

[2]
Computed, not measured: a relaxed structure of TbPu5S6 at the PBE-GGA level of DFT.

Cell: 6.8518 11.8672 6.8529 Å, 90.00 109.47 90.00°
Closest atoms and distances in Å follow each position.
Space group C2/m (No. 12)
One atom of each set of equivalent atoms:
Tb 0.0000 0.0000 0.0000 [2 per cell]  6 S 2.80
Pu 0.0000 0.1665 0.5000 [4 per cell]  6 S 2.80
Pu 0.0000 0.3333 0.0000 [4 per cell]  6 S 2.80
Pu 0.0000 0.5000 0.5000 [2 per cell]  6 S 2.79-2.80
S 0.2501 0.0000 0.7497 [4 per cell]  5 Pu 2.79-2.80, 1 Tb 2.80
S 0.2501 0.1668 0.2499 [8 per cell]  5 Pu 2.80, 1 Tb 2.80

Density of states at the Fermi level ... 83.2 states/eV/cell

***

[3]
Computed, not measured: a relaxed structure of TbPu3S4 at the PBE-GGA level of DFT.

Cell: 7.9122 11.1760 3.9527 Å, 90.00 90.00 90.00°
Closest atoms and distances in Å follow each position.
Space group Cmmm (No. 65)
One atom of each set of equivalent atoms:
Tb 0.0000 0.0000 0.0000 [2 per cell]  6 S 2.79
Pu 0.0000 0.5000 0.0000 [2 per cell]  6 S 2.79-2.80
Pu 0.2500 0.2500 0.5000 [4 per cell]  6 S 2.79-2.80
S 0.0000 0.2501 0.0000 [4 per cell]  5 Pu 2.79-2.80, 1 Tb 2.79
S 0.2495 0.0000 0.5000 [4 per cell]  2 Tb 2.79, 4 Pu 2.79-2.80

Distance to the lowest polymorph of the same formula ... 0.000 eV per atom
Density of states at the Fermi level ... 48.5 states/eV/cell

***

[4]
Computed, not measured: a relaxed structure of Tb6PuS8 at the PBE-GGA level of DFT.

Cell: 11.1020 11.1020 11.1020 Å, 90.00 90.00 90.00°
Closest atoms and distances in Å follow each position.
Space group Fm-3m (No. 225)
One atom of each set of equivalent atoms:
Tb 0.0000 0.2500 0.2500 [24 per cell]  6 S 2.78
Pu 0.0000 0.0000 0.0000 [4 per cell]  6 S 2.80
S 0.0000 0.0000 0.2523 [24 per cell]  4 Tb 2.78, 1 Pu 2.80
S 0.2500 0.2500 0.2500 [8 per cell]  6 Tb 2.78

Density of states at the Fermi level ... 56.4 states/eV/cell

***

[5]
Computed, not measured: a relaxed structure of Tb5PuS6 at the PBE-GGA level of DFT.

Cell: 6.7968 11.7952 6.8196 Å, 90.00 109.47 90.00°
Closest atoms and distances in Å follow each position.
Space group C2/m (No. 12)
One atom of each set of equivalent atoms:
Tb 0.0000 0.0000 0.0000 [2 per cell]  6 S 2.77-2.78
Tb 0.0000 0.1675 0.5000 [4 per cell]  6 S 2.78-2.79
Tb 0.0000 0.3323 0.0000 [4 per cell]  6 S 2.76-2.79
Pu 0.0000 0.5000 0.5000 [2 per cell]  6 S 2.79
S 0.2492 0.0000 0.7506 [4 per cell]  5 Tb 2.77-2.79, 1 Pu 2.79
S 0.2491 0.1670 0.2490 [8 per cell]  5 Tb 2.76-2.78, 1 Pu 2.79

Density of states at the Fermi level ... 24.3 states/eV/cell

***

[6]
Computed, not measured: a relaxed structure of Tb3Pu4S8 at the PBE-GGA level of DFT.

Cell: 11.1448 11.1345 7.8622 Å, 90.00 134.85 90.00°
Closest atoms and distances in Å follow each position.
Space group C2/m (No. 12)
One atom of each set of equivalent atoms:
Tb 0.0000 0.0000 0.0000 [2 per cell]  6 S 2.77-2.78
Tb 0.2500 0.2500 0.0000 [4 per cell]  6 S 2.78-2.79
Pu 0.0000 0.0000 0.5000 [2 per cell]  6 S 2.77-2.81
Pu 0.0000 0.5000 0.0000 [2 per cell]  6 S 2.79-2.81
Pu 0.2500 0.2500 0.5000 [4 per cell]  6 S 2.78-2.79
S 0.0000 0.2492 0.0000 [4 per cell]  3 Tb 2.78-2.79, 3 Pu 2.79
S 0.0000 0.2495 0.5000 [4 per cell]  3 Pu 2.78-2.79, 2 Tb 2.79
S 0.2470 0.0000 0.4964 [4 per cell]  1 Tb 2.77, 4 Pu 2.77-2.81
S 0.2490 0.5000 0.9961 [4 per cell]  3 Tb 2.78, 2 Pu 2.80-2.81

Density of states at the Fermi level ... 72.4 states/eV/cell

***

[7]
Computed, not measured: a relaxed structure of Tb4PuS7 at the PBE-GGA level of DFT.

Cell: 12.9273 3.8488 11.6907 Å, 90.00 104.68 90.00°
Closest atoms and distances in Å follow each position.
Space group Cm (No. 8)
One atom of each set of equivalent atoms:
Tb 0.0000 0.0000 0.0000 [2 per cell]  6 S 2.71-2.84
Tb 0.0832 0.5000 0.3880 [2 per cell]  7 S 2.74-2.97
Tb 0.1879 0.0000 0.7684 [2 per cell]  7 S 2.75-2.98
Tb 0.3856 0.5000 0.5781 [2 per cell]  6 S 2.69-2.77
Pu 0.2702 0.5000 0.1553 [2 per cell]  6 S 2.74-2.87
S 0.0449 0.5000 0.6284 [2 per cell]  5 Tb 2.77-2.97
S 0.1224 0.5000 0.9255 [2 per cell]  4 Tb 2.77-2.93, 1 Pu 2.87
S 0.1441 0.0000 0.2277 [2 per cell]  2 Pu 2.79, 3 Tb 2.84-2.93
S 0.2269 0.0000 0.5281 [2 per cell]  5 Tb 2.77-2.98
S 0.3436 0.5000 0.7929 [2 per cell]  4 Tb 2.70-2.75
S 0.3842 0.0000 0.0742 [2 per cell]  2 Tb 2.71, 2 Pu 2.74
S 0.4282 0.5000 0.3645 [2 per cell]  3 Tb 2.69-2.74, 1 Pu 2.76

Density of states at the Fermi level ... 24.8 states/eV/cell

***

[8]
Computed, not measured: a relaxed structure of TbPuS3 at the PBE-GGA level of DFT.

Cell: 7.3263 3.9427 15.1274 Å, 90.00 90.00 90.00°
Closest atoms and distances in Å follow each position.
Space group Pnma (No. 62)
One atom of each set of equivalent atoms:
Tb 0.2369 0.2500 0.0421 [4 per cell]  7 S 2.76-2.89
Pu 0.1388 0.7500 0.2917 [4 per cell]  7 S 2.74-2.95
S 0.0102 0.7500 0.1070 [4 per cell]  3 Tb 2.76-2.89, 1 Pu 2.95
S 0.1242 0.2500 0.4317 [4 per cell]  3 Tb 2.78-2.87, 2 Pu 2.89, 1 S 3.04
S 0.1467 0.7500 0.7205 [4 per cell]  4 Pu 2.74-2.88, 1 Tb 2.83, 1 S 3.04

Distance to the lowest polymorph of the same formula ... 0.000 eV per atom
Density of states at the Fermi level ... 29.0 states/eV/cell

***

[9]
Computed, not measured: a relaxed structure of TbPu2Te2S2 at the PBE-GGA level of DFT.

Cell: 5.1107 5.1107 15.8595 Å, 90.00 90.00 90.00°
Closest atoms and distances in Å follow each position.
Space group I4/mmm (No. 139)
One atom of each set of equivalent atoms:
Tb 0.0000 0.0000 0.0000 [2 per cell]  4 S 2.56
Pu 0.0000 0.0000 0.3842 [4 per cell]  1 Te 3.11, 4 S 3.15
Te 0.0000 0.0000 0.1884 [4 per cell]  1 Tb 2.99, 1 Pu 3.11
S 0.0000 0.5000 0.0000 [4 per cell]  2 Tb 2.56

Density of states at the Fermi level ... 51.0 states/eV/cell

***

[10]
Computed, not measured: a relaxed structure of Tb2Pu3ThS6 at the PBE-GGA level of DFT.

Cell: 17.2580 3.9431 7.9544 Å, 90.00 103.35 90.00°
Closest atoms and distances in Å follow each position.
Space group C2/m (No. 12)
One atom of each set of equivalent atoms:
Tb 0.1670 0.0000 0.3336 [4 per cell]  6 S 2.78-2.80
Pu 0.0000 0.5000 0.5000 [2 per cell]  6 S 2.76-2.81
Pu 0.1655 0.0000 0.8339 [4 per cell]  6 S 2.77-2.81
Th 0.0000 0.5000 0.0000 [2 per cell]  6 S 2.85
S 0.0011 0.0000 0.2584 [4 per cell]  3 Pu 2.76-2.80, 1 Tb 2.79, 2 Th 2.85
S 0.1673 0.5000 0.5829 [4 per cell]  3 Tb 2.78-2.80, 3 Pu 2.81
S 0.1698 0.5000 0.0868 [4 per cell]  3 Pu 2.77-2.81, 2 Tb 2.79, 1 Th 2.85

Density of states at the Fermi level ... 40.9 states/eV/cell

***

[11]
Computed, not measured: a relaxed structure of TbPuTh2S4 at the PBE-GGA level of DFT.

Cell: 6.8454 3.9576 7.0092 Å, 90.00 109.06 90.00°
Closest atoms and distances in Å follow each position.
Space group P2/m (No. 10)
One atom of each set of equivalent atoms:
Tb 0.0000 0.0000 0.0000 [1 per cell]  6 S 2.77
Pu 0.5000 0.5000 0.0000 [1 per cell]  6 S 2.78
Th 0.0000 0.5000 0.5000 [1 per cell]  6 S 2.86-2.87
Th 0.5000 0.0000 0.5000 [1 per cell]  6 S 2.87
S 0.2450 0.5000 0.2381 [2 per cell]  2 Tb 2.77, 1 Pu 2.78, 3 Th 2.86-2.87
S 0.2534 0.0000 0.7623 [2 per cell]  1 Tb 2.77, 2 Pu 2.78, 3 Th 2.87

Density of states at the Fermi level ... 8.8 states/eV/cell

***

[12]
Computed, not measured: a relaxed structure of TbPu3Tl4S8 at the PBE-GGA level of DFT.

Cell: 8.1587 8.1587 22.3898 Å, 90.00 90.00 120.00°
Closest atoms and distances in Å follow each position.
Space group R-3m (No. 166, hexagonal axes)
One atom of each set of equivalent atoms:
Tb 0.0000 0.0000 0.0000 [3 per cell]  6 S 2.77
Pu 0.0000 0.5000 0.0000 [9 per cell]  6 S 2.76-2.78
Tl 0.0000 0.0000 0.5000 [3 per cell]  6 S 3.27
Tl 0.0000 0.5000 0.5000 [9 per cell]  6 S 3.26-3.29
S 0.0000 0.0000 0.2690 [6 per cell]  3 Pu 2.76
S 0.9996 0.4998 0.2677 [18 per cell]  1 Tb 2.77, 2 Pu 2.78

Density of states at the Fermi level ... 81.1 states/eV/cell

***

Number 1: formation energy from raw total energies -0.625 eV/atom. Number 2: formation energy from raw total energies -1.811 eV/atom. Number 3: formation energy from raw total energies -1.839 eV/atom. Number 4: formation energy from raw total energies -2.007 eV/atom. Number 5: formation energy from raw total energies -1.987 eV/atom. Number 6: formation energy from raw total energies -1.874 eV/atom. Number 7: formation energy from raw total energies -1.991 eV/atom. Number 8: formation energy from raw total energies -1.875 eV/atom. Number 9: formation energy from raw total energies -1.256 eV/atom. Number 10: formation energy from raw total energies -1.881 eV/atom. Number 11: formation energy from raw total energies -1.872 eV/atom. Number 12: formation energy from raw total energies -1.278 eV/atom.